VASP calculation (PBE) on a relaxed structure of ZnSb3Pt.

Properties
Its energy relative to the lowest polymorph listed for this composition is 0.322 eV/atom. The calculation puts the formation energy without anion corrections at 0.819 eV per atom. The calculation puts the density of states at the Fermi level at 0.68 states/eV per atom. The value obtained for the final energy is -0.2291 Ry/atom.

Lattice parameters (Å, degrees): 5.076 5.076 5.076 90.00 90.00 90.00
Space group Pm-3m (No. 221)
Unique sites:
Zn: 0.000 0.000 0.000
Sb: 0.000 0.000 0.500
Pt: 0.500 0.500 0.500